## w
DFT (PBE-GGA) results for PuSeCl after structural relaxation.

```
PuSeCl
1.0
4.835 0.000 0.000
2.418 4.187 0.000
2.418 1.396 3.948
Cl Se Pu
1 1 1
Direct
0.500 0.500 0.500
0.000 0.000 0.000
0.250 0.250 0.250
```

Output
Calculated density (g/cm³): 7.4
Calculated volume (A^3/atom): 26.642

## x
DFT (PBE-GGA) results for PuSeCl after structural relaxation.

```
PuSeCl
1.0
-0.471 -0.567 6.410
-3.401 -2.397 -0.462
3.798 -1.757 0.124
Cl Se Pu
1 1 1
Direct
0.230 0.333 0.667
0.772 0.667 0.333
0.998 0.000 0.000
```

Output
Calculated density (g/cm³): 6.1
Calculated volume (A^3/atom): 32.648

## y
DFT (PBE-GGA) results for PuSeCl after structural relaxation.

```
PuSeCl
1.0
3.536 0.000 0.000
0.000 3.536 0.000
-1.768 -1.768 6.654
Cl Se Pu
1 1 1
Direct
0.291 0.291 0.581
0.047 0.047 0.094
0.663 0.663 0.325
```

Output
Calculated density (g/cm³): 7.2
Calculated volume (A^3/atom): 27.738

## z
DFT (PBE-GGA) results for PuSeCl after structural relaxation.

```
PuSeCl
1.0
3.926 0.000 -0.741
-0.140 3.924 -0.741
0.089 0.093 11.239
Pu Se Cl
2 2 2
Direct
0.589 0.089 0.178
0.911 0.411 0.822
0.050 0.550 0.100
0.450 0.950 0.900
0.678 0.678 0.355
0.322 0.322 0.645
```

Output
Calculated density (g/cm³): 6.9
Calculated volume (A^3/atom): 28.946

Energies relative to the minimum, kJ/mol of atoms: w 0.8; x 1.5; y 16.1; z 0.0

## w
DFT (PBE-GGA) results for Pu2SeCl after structural relaxation.

```
Pu2SeCl
1.0
-3.865 -1.036 -1.052
-1.639 -3.542 1.374
-4.091 1.556 5.361
Cl Se Pu
1 1 2
Direct
0.500 0.500 0.500
0.000 0.000 0.000
0.248 0.248 0.257
0.752 0.752 0.743
```

Output
Calculated density (g/cm³): 10.4
Calculated volume (A^3/atom): 24.076

## x
DFT (PBE-GGA) results for Pu2SeCl after structural relaxation.

```
Pu2SeCl
1.0
-1.063 0.261 3.740
-0.496 -3.236 2.115
6.791 -0.764 4.014
Pu Se Cl
2 1 1
Direct
0.080 0.080 0.761
0.254 0.254 0.237
0.668 0.668 0.997
0.498 0.498 0.505
```

Output
Calculated density (g/cm³): 10.0
Calculated volume (A^3/atom): 24.989

## y
DFT (PBE-GGA) results for Pu2SeCl after structural relaxation.

```
Pu2SeCl
1.0
5.064 0.000 0.000
2.532 4.386 0.000
2.532 1.462 4.135
Cl Se Pu
1 1 2
Direct
0.000 0.000 0.000
0.500 0.500 0.500
0.250 0.250 0.250
0.750 0.750 0.750
```

Output
Calculated density (g/cm³): 10.9
Calculated volume (A^3/atom): 22.959

Energies relative to the minimum, kJ/mol of atoms: w 0.0; x 5.7; y 13.0

## w
DFT (PBE-GGA) results for Pu2Se2Cl after structural relaxation.

```
Pu2Se2Cl
1.0
4.002 0.000 -1.050
-0.276 3.992 -1.050
0.233 0.249 9.035
Pu Se Cl
2 2 1
Direct
0.842 0.842 0.683
0.158 0.158 0.317
0.668 0.668 0.337
0.332 0.332 0.663
0.000 0.000 0.000
```

Output
Calculated density (g/cm³): 7.7
Calculated volume (A^3/atom): 29.285

## x
DFT (PBE-GGA) results for Pu2Se2Cl after structural relaxation.

```
Pu2Se2Cl
1.0
4.161 0.000 0.000
0.000 5.732 0.000
-2.081 -2.866 6.313
Pu Se Cl
2 2 1
Direct
0.338 0.838 0.676
0.662 0.162 0.324
0.681 0.681 0.362
0.319 0.319 0.638
0.000 0.000 0.000
```

Output
Calculated density (g/cm³): 7.5
Calculated volume (A^3/atom): 30.118

Energies relative to the minimum, kJ/mol of atoms: w 0.0; x 7.8

## w
DFT (PBE-GGA) results for TbPuCl5 after structural relaxation.

```
TbPuCl5
1.0
-3.817 -0.564 6.097
4.088 -4.486 3.901
4.570 10.157 -1.694
Tb Pu Cl
2 2 10
Direct
0.000 0.000 0.000
0.500 0.500 0.500
0.898 0.602 0.250
0.102 0.398 0.750
0.843 0.887 0.134
0.797 0.216 0.491
0.387 0.343 0.634
0.219 0.281 0.250
0.284 0.703 0.009
0.716 0.297 0.991
0.781 0.719 0.750
0.613 0.657 0.366
0.203 0.784 0.509
0.157 0.113 0.866
```

Output
Calculated density (g/cm³): 4.0
Calculated volume (A^3/atom): 34.743

## x
DFT (PBE-GGA) results for TbPuCl5 after structural relaxation.

```
TbPuCl5
1.0
-3.007 -4.904 4.485
-2.580 -5.597 -3.902
6.071 -8.072 0.976
Tb Pu Cl
2 2 10
Direct
0.000 0.000 0.000
0.000 0.000 0.500
0.548 0.452 0.250
0.452 0.548 0.750
0.803 0.715 0.133
0.282 0.660 0.469
0.715 0.803 0.633
0.898 0.102 0.250
0.340 0.718 0.031
0.660 0.282 0.969
0.102 0.898 0.750
0.285 0.197 0.367
0.718 0.340 0.531
0.197 0.285 0.867
```

Output
Calculated density (g/cm³): 4.2
Calculated volume (A^3/atom): 32.911

Energies relative to the minimum, kJ/mol of atoms: w 1.2; x 0.0

## w
DFT (PBE-GGA) results for Pu2TcCl after structural relaxation.

```
Pu2TcCl
1.0
-1.866 2.637 -1.076
-0.033 0.827 -3.303
-7.481 -4.213 -2.735
Cl Tc Pu
1 1 2
Direct
0.500 0.500 0.500
0.000 0.000 0.000
0.256 0.256 0.233
0.744 0.744 0.767
```

Output
Calculated density (g/cm³): 11.7
Calculated volume (A^3/atom): 22.073

## x
DFT (PBE-GGA) results for Pu2TcCl after structural relaxation.

```
Pu2TcCl
1.0
-0.921 2.644 1.719
-0.108 -1.816 2.736
7.664 1.727 1.448
Cl Tc Pu
1 1 2
Direct
0.500 0.500 0.500
0.500 0.500 0.000
0.000 0.000 0.779
0.000 0.000 0.221
```

Output
Calculated density (g/cm³): 12.0
Calculated volume (A^3/atom): 21.558

Energies relative to the minimum, kJ/mol of atoms: w 14.1; x 0.0

## w
DFT (PBE-GGA) results for PuTl3Cl6 after structural relaxation.

```
PuTl3Cl6
1.0
7.572 0.000 0.192
0.000 8.258 0.000
0.185 0.000 10.962
Pu Tl Cl
2 6 12
Direct
0.500 0.500 0.500
0.000 0.000 0.000
0.528 0.928 0.760
0.500 0.500 0.000
0.472 0.072 0.240
0.028 0.572 0.260
0.000 0.000 0.500
0.972 0.428 0.740
0.706 0.171 0.947
0.661 0.223 0.576
0.636 0.435 0.271
0.364 0.565 0.729
0.339 0.777 0.424
0.294 0.829 0.053
0.206 0.329 0.447
0.161 0.277 0.076
0.136 0.065 0.771
0.864 0.935 0.229
0.839 0.723 0.924
0.794 0.671 0.553
```

Output
Calculated density (g/cm³): 5.2
Calculated volume (A^3/atom): 34.260

## x
DFT (PBE-GGA) results for PuTl3Cl6 after structural relaxation.

```
PuTl3Cl6
1.0
-6.006 -3.116 -2.987
5.294 -2.854 -4.304
0.992 -2.440 8.026
Pu Tl Cl
1 3 6
Direct
0.000 0.000 0.000
0.750 0.250 0.500
0.500 0.500 0.000
0.250 0.750 0.500
0.655 0.655 0.735
0.920 0.920 0.265
0.080 0.080 0.735
0.345 0.345 0.265
0.765 0.235 0.000
0.235 0.765 0.000
```

Output
Calculated density (g/cm³): 4.7
Calculated volume (A^3/atom): 37.648

Energies relative to the minimum, kJ/mol of atoms: w 0.0; x 6.9

## w
DFT (PBE-GGA) results for Pu2TlCl8 after structural relaxation.

```
Pu2TlCl8
1.0
7.805 -0.499 -0.379
-0.738 7.439 0.432
-0.738 2.419 7.048
Pu Tl Cl
2 1 8
Direct
0.480 0.727 0.727
0.520 0.273 0.273
0.000 0.000 0.000
0.357 0.342 0.905
0.643 0.095 0.658
0.204 0.809 0.809
0.796 0.191 0.191
0.357 0.905 0.342
0.643 0.658 0.095
0.731 0.627 0.627
0.269 0.373 0.373
```

Output
Calculated density (g/cm³): 4.1
Calculated volume (A^3/atom): 36.107

## x
DFT (PBE-GGA) results for Pu2TlCl8 after structural relaxation.

```
Pu2TlCl8
1.0
-3.896 -2.740 -2.612
0.364 -4.836 5.946
-4.348 6.155 1.443
Pu Tl Cl
2 1 8
Direct
0.000 0.322 0.678
0.000 0.678 0.322
0.500 0.000 0.000
0.920 0.948 0.670
0.920 0.670 0.948
0.272 0.601 0.601
0.500 0.736 0.264
0.500 0.264 0.736
0.728 0.399 0.399
0.080 0.330 0.052
0.080 0.052 0.330
```

Output
Calculated density (g/cm³): 5.6
Calculated volume (A^3/atom): 26.463

Energies relative to the minimum, kJ/mol of atoms: w 0.5; x 0.0

## w
DFT (PBE-GGA) results for PuZrCl6 after structural relaxation.

```
PuZrCl6
1.0
6.463 0.302 -1.120
-1.797 6.083 -3.067
0.273 -0.967 6.974
Pu Zr Cl
1 1 6
Direct
0.000 0.000 0.000
0.500 0.500 0.500
0.733 0.582 0.870
0.733 0.870 0.582
0.267 0.130 0.418
0.267 0.418 0.130
0.732 0.258 0.258
0.268 0.742 0.742
```

Output
Calculated density (g/cm³): 3.5
Calculated volume (A^3/atom): 32.306

## x
DFT (PBE-GGA) results for PuZrCl6 after structural relaxation.

```
PuZrCl6
1.0
6.720 0.010 0.010
3.353 5.824 0.013
3.350 1.936 6.132
Pu Zr Cl
1 1 6
Direct
0.500 0.500 0.500
0.000 0.000 0.000
0.090 0.381 0.763
0.766 0.090 0.763
0.619 0.234 0.237
0.234 0.910 0.237
0.910 0.619 0.237
0.381 0.766 0.763
```

Output
Calculated density (g/cm³): 3.8
Calculated volume (A^3/atom): 29.936

Energies relative to the minimum, kJ/mol of atoms: w 0.0; x 1.0

## w
DFT (PBE-GGA) results for RbCl6 after structural relaxation.

```
RbCl6
1.0
7.073 0.000 0.000
0.000 7.073 0.000
0.000 0.000 10.694
Rb Cl
2 12
Direct
0.500 0.000 0.000
0.000 0.500 0.000
0.500 0.500 0.122
0.000 0.000 0.122
0.000 0.000 0.878
0.500 0.500 0.878
0.718 0.782 0.412
0.218 0.718 0.412
0.782 0.282 0.412
0.282 0.218 0.412
0.782 0.718 0.588
0.282 0.782 0.588
0.718 0.218 0.588
0.218 0.282 0.588
```

Output
Calculated density (g/cm³): 1.9
Calculated volume (A^3/atom): 38.215

## x
DFT (PBE-GGA) results for RbCl6 after structural relaxation.

```
RbCl6
1.0
6.859 0.000 0.000
-2.286 6.467 0.000
-2.286 -3.233 5.601
Rb Cl
1 6
Direct
0.000 0.000 0.000
0.250 0.750 0.500
0.500 0.750 0.250
0.250 0.500 0.750
0.750 0.250 0.500
0.500 0.250 0.750
0.750 0.500 0.250
```

Output
Calculated density (g/cm³): 2.0
Calculated volume (A^3/atom): 35.490

Energies relative to the minimum, kJ/mol of atoms: w 0.0; x 43.4

## w
DFT (PBE-GGA) results for RbReCl6 after structural relaxation.

```
RbReCl6
1.0
-2.396 -3.695 4.816
6.328 -1.286 -2.260
2.236 9.116 8.108
Rb Re Cl
2 2 12
Direct
0.401 0.000 0.250
0.599 0.000 0.750
0.000 0.500 0.500
0.500 0.500 0.000
0.964 0.162 0.397
0.197 0.162 0.897
0.114 0.425 0.659
0.310 0.425 0.159
0.036 0.838 0.603
0.803 0.838 0.103
0.608 0.306 0.534
0.698 0.306 0.034
0.886 0.575 0.341
0.690 0.575 0.841
0.392 0.694 0.466
0.302 0.694 0.966
```

Output
Calculated density (g/cm³): 3.4
Calculated volume (A^3/atom): 29.723

## x
DFT (PBE-GGA) results for RbReCl6 after structural relaxation.

```
RbReCl6
1.0
6.873 0.000 0.000
3.437 5.953 0.000
3.437 1.984 6.265
Rb Re Cl
1 1 6
Direct
0.500 0.500 0.500
0.000 0.000 0.000
0.912 0.912 0.785
0.391 0.912 0.785
0.088 0.609 0.215
0.609 0.088 0.215
0.088 0.088 0.215
0.912 0.391 0.785
```

Output
Calculated density (g/cm³): 3.1
Calculated volume (A^3/atom): 32.042

Energies relative to the minimum, kJ/mol of atoms: w 0.0; x 1.7